Material: Ac2Ru2O7
Method: DFT, PBE
State: optimized geometry

Lattice parameters (Å, degrees): 8.5129 7.0590 5.1255 90.00 94.50 90.00
Space group C2/m (No. 12)
Unique sites:
Ac (0.0000, 0.2408, 0.0000) x4
Ru (0.2313, 0.0000, 0.5295) x4
O (0.0000, 0.0000, 0.5000) x2
O (0.0678, 0.5000, 0.2763) x4
O (0.2288, 0.2899, 0.7253) x8

Excess energy over the best structure of this formula in the dataset   0.2298 eV/atom
V   307.1 Å³/cell
Energy relative to the elements, uncorrected   -1792 meV per atom
Crystal system   monoclinic
Electronic total energy   -7.381 eV/atom


Material: AcCuSn4Pd2
Method: DFT, PBE
State: optimized geometry

Lattice parameters (Å, degrees): 4.7779 4.7779 28.1428 90.00 90.00 120.00
Space group R-3m (No. 166, hexagonal axes)
Unique sites:
Ac (0.0000, 0.0000, 0.0000) x3
Cu (0.0000, 0.0000, 0.5000) x3
Sn (0.0000, 0.0000, 0.1326) x6
Sn (0.0000, 0.0000, 0.4035) x6
Pd (0.0000, 0.0000, 0.2411) x6

V   556.4 Å³/cell
Energy relative to the elements   -398 meV per atom
Crystal system   trigonal
Electronic total energy   -4.723 eV/atom


Material: Ca2BiPt2
Method: DFT, PBE
State: optimized geometry

Lattice parameters (Å, degrees): 3.8158 3.8158 17.6728 90.00 90.00 90.00
Space group I4/mmm (No. 139)
Unique sites:
Ca (0.0000, 0.0000, 0.1230) x4
Bi (0.0000, 0.0000, 0.5000) x2
Pt (0.0000, 0.5000, 0.2500) x4

Excess energy over the best structure of this formula in the dataset   0.1608 eV/atom
V   257.3 Å³/cell
Energy relative to the elements   -693 meV per atom
Crystal system   tetragonal
Electronic total energy   -4.686 eV/atom


Material: VNi6Ru
Method: DFT, PBE
State: optimized geometry

Lattice parameters (Å, degrees): 5.0890 5.0890 3.5772 90.00 90.00 90.00
Space group P4/mmm (No. 123)
Unique sites:
V (0.0000, 0.0000, 0.0000) x1
Ni (0.0000, 0.5000, 0.0000) x2
Ni (0.2457, 0.2457, 0.5000) x4
Ru (0.5000, 0.5000, 0.0000) x1

V   92.6 Å³/cell
Energy relative to the elements   -3 meV per atom
Crystal system   tetragonal
Electronic total energy   -6.638 eV/atom


Material: BaLiY2Rh
Method: DFT, PBE
State: optimized geometry

Lattice parameters (Å, degrees): 5.3292 5.3292 5.6752 90.00 90.00 90.00
Space group P4/mmm (No. 123)
Unique sites:
Ba (0.0000, 0.0000, 0.0000) x1
Li (0.5000, 0.5000, 0.0000) x1
Y (0.0000, 0.5000, 0.5000) x2
Rh (0.5000, 0.5000, 0.5000) x1

V   161.2 Å³/cell
Energy relative to the elements   -174 meV per atom
Crystal system   tetragonal
Electronic total energy   -4.998 eV/atom


Material: CaAl2Hg
Method: DFT, PBE
State: optimized geometry

Lattice parameters (Å, degrees): 3.4227 4.6734 5.7687 90.00 90.00 90.00
Space group Pmm2 (No. 25)
Unique sites:
Ca (0.0000, 0.0000, 0.0000) x1
Al (0.5000, 0.0000, 0.4860) x1
Al (0.5000, 0.5000, 0.2514) x1
Hg (0.5000, 0.5000, 0.7538) x1

V   92.3 Å³/cell
Energy relative to the elements   -152 meV per atom
Crystal system   orthorhombic
Electronic total energy   -2.600 eV/atom


Material: ZrGaNi3
Method: DFT, PBE
State: optimized geometry

Lattice parameters (Å, degrees): 4.3110 4.3110 4.3110 90.00 90.00 90.00
Space group Pm-3m (No. 221)
Unique sites:
Zr (0.0000, 0.0000, 0.0000) x1
Ga (0.5000, 0.5000, 0.5000) x1
Ni (0.0000, 0.5000, 0.5000) x3

Excess energy over the best structure of this formula in the dataset   0.6006 eV/atom
V   80.1 Å³/cell
Energy relative to the elements   257 meV per atom
Crystal system   cubic
Electronic total energy   -5.527 eV/atom


Material: EuAg2Au
Method: DFT, PBE
State: optimized geometry

Lattice parameters (Å, degrees): 7.0664 7.0664 7.0664 90.00 90.00 90.00
Space group Fm-3m (No. 225)
Unique sites:
Eu (0.0000, 0.0000, 0.0000) x4
Ag (0.2500, 0.2500, 0.2500) x8
Au (0.0000, 0.0000, 0.5000) x4

Excess energy over the best structure of this formula in the dataset   0.0000 eV/atom
V   352.9 Å³/cell
Energy relative to the elements   -257 meV per atom
Crystal system   cubic
Electronic total energy   -5.070 eV/atom


Material: Na2Tl3Te4
Method: DFT, PBE
State: optimized geometry

Lattice parameters (Å, degrees): 13.8367 5.1603 9.6623 90.00 97.89 90.00
Space group C2/m (No. 12)
Unique sites:
Na (0.2490, 0.0000, 0.3706) x4
Tl (0.0000, 0.0000, 0.5000) x2
Tl (0.1169, 0.5000, 0.9545) x4
Te (0.1139, 0.5000, 0.3439) x4
Te (0.1992, 0.0000, 0.7916) x4

V   683.4 Å³/cell
Energy relative to the elements, uncorrected   -376 meV per atom
Crystal system   monoclinic
Electronic total energy   -2.854 eV/atom


Material: AcThGa
Method: DFT, PBE
State: optimized geometry

Lattice parameters (Å, degrees): 5.0668 5.0668 4.3848 90.00 90.00 120.00
Space group P3m1 (No. 156)
Unique sites:
Ac (0.0000, 0.0000, 0.0000) x1
Th (0.6667, 0.3333, 0.5332) x1
Ga (0.3333, 0.6667, 0.4109) x1

Excess energy over the best structure of this formula in the dataset   0.1470 eV/atom
V   97.5 Å³/cell
Energy relative to the elements   -51 meV per atom
Crystal system   trigonal
Electronic total energy   -4.903 eV/atom


Material: AgPS2Br
Method: DFT, PBE
State: optimized geometry

Lattice parameters (Å, degrees): 4.8313 4.8313 5.0946 90.00 90.00 90.00
Space group P4/mmm (No. 123)
Unique sites:
Ag (0.0000, 0.0000, 0.0000) x1
P (0.0000, 0.0000, 0.5000) x1
S (0.0000, 0.5000, 0.0000) x2
Br (0.5000, 0.5000, 0.5000) x1

Excess energy over the best structure of this formula in the dataset   0.0000 eV/atom
V   118.9 Å³/cell
Energy relative to the elements, uncorrected   1072 meV per atom
Crystal system   tetragonal
Electronic total energy   -2.566 eV/atom


Material: KCuHg2
Method: DFT, PBE
State: optimized geometry

Lattice parameters (Å, degrees): 4.5929 4.5116 6.0715 90.00 93.43 90.00
Space group P2/m (No. 10)
Unique sites:
K (0.0000, 0.0000, 0.0000) x1
Cu (0.5000, 0.0000, 0.5000) x1
Hg (0.4764, 0.5000, 0.7451) x2

Excess energy over the best structure of this formula in the dataset   0.1328 eV/atom
V   125.6 Å³/cell
Energy relative to the elements   55 meV per atom
Crystal system   monoclinic
Electronic total energy   -1.395 eV/atom


Material: LiCoCuBr2
Method: DFT, PBE
State: optimized geometry

Lattice parameters (Å, degrees): 5.1626 5.1626 4.5772 90.00 90.00 90.00
Space group P4/mmm (No. 123)
Unique sites:
Li (0.0000, 0.0000, 0.0000) x1
Co (0.5000, 0.5000, 0.0000) x1
Cu (0.5000, 0.5000, 0.5000) x1
Br (0.0000, 0.5000, 0.5000) x2

V   122.0 Å³/cell
Energy relative to the elements, uncorrected   272 meV per atom
Crystal system   tetragonal
Electronic total energy   -3.020 eV/atom


Material: La2SmThSe4
Method: DFT, PBE
State: optimized geometry

Lattice parameters (Å, degrees): 7.3641 4.2346 7.3742 90.00 109.35 90.00
Space group P2/m (No. 10)
Unique sites:
La (0.0000, 0.0000, 0.0000) x1
La (0.0000, 0.5000, 0.5000) x1
Sm (0.5000, 0.0000, 0.5000) x1
Th (0.5000, 0.5000, 0.0000) x1
Se (0.2573, 0.0000, 0.7499) x2
Se (0.2591, 0.5000, 0.2548) x2

V   217.0 Å³/cell
Energy relative to the elements, uncorrected   -1837 meV per atom
Crystal system   monoclinic
Electronic total energy   -6.329 eV/atom


Material: Sm6Y5Th2
Method: DFT, PBE
State: optimized geometry

Lattice parameters (Å, degrees): 11.5874 20.9513 3.6101 90.00 90.00 90.00
Space group Pbam (No. 55)
Unique sites:
Sm (0.0660, 0.1466, 0.0000) x4
Sm (0.0828, 0.4382, 0.0000) x4
Sm (0.1828, 0.8756, 0.5000) x4
Y (0.0000, 0.0000, 0.5000) x2
Y (0.0660, 0.2931, 0.5000) x4
Y (0.1863, 0.5810, 0.5000) x4
Th (0.1900, 0.7335, 0.0000) x4

V   876.4 Å³/cell
Energy relative to the elements   113 meV per atom
Crystal system   orthorhombic
Electronic total energy   -5.693 eV/atom


Material: Pu2U2Pt15
Method: DFT, PBE
State: optimized geometry

Lattice parameters (Å, degrees): 9.3083 9.3083 13.8631 90.00 90.00 120.00
Space group R-3m (No. 166, hexagonal axes)
Unique sites:
Pu (0.0000, 0.0000, 0.1468) x6
U (0.0000, 0.0000, 0.4132) x6
Pt (0.0000, 0.3207, 0.5000) x18
Pt (0.0000, 0.5000, 0.0000) x9
Pt (0.0022, 0.5011, 0.6595) x18

V   1040.2 Å³/cell
Energy relative to the elements   -532 meV per atom
Crystal system   trigonal
Electronic total energy   -7.998 eV/atom


Material: InCu4
Method: DFT, PBE
State: optimized geometry

Lattice parameters (Å, degrees): 4.3141 4.3272 15.0212 90.00 90.00 90.00
Space group Fmmm (No. 69)
Unique sites:
In (0.0000, 0.0000, 0.0000) x4
Cu (0.0000, 0.0000, 0.2061) x8
Cu (0.0000, 0.0000, 0.3813) x8

V   280.4 Å³/cell
Energy relative to the elements   58 meV per atom
Crystal system   orthorhombic
Electronic total energy   -3.766 eV/atom


Material: ErLuAlHg
Method: DFT, PBE
State: optimized geometry

Lattice parameters (Å, degrees): 7.2561 7.2561 7.2561 90.00 90.00 90.00
Space group F-43m (No. 216)
Unique sites:
Er (0.0000, 0.0000, 0.0000) x4
Lu (0.0000, 0.0000, 0.5000) x4
Al (0.2500, 0.2500, 0.2500) x4
Hg (0.2500, 0.2500, 0.7500) x4

V   382.0 Å³/cell
Energy relative to the elements   -386 meV per atom
Crystal system   cubic
Electronic total energy   -3.668 eV/atom


Material: CeHfZnCd
Method: DFT, PBE
State: optimized geometry

Lattice parameters (Å, degrees): 7.1356 7.1356 7.1356 90.00 90.00 90.00
Space group F-43m (No. 216)
Unique sites:
Ce (0.0000, 0.0000, 0.0000) x4
Hf (0.0000, 0.0000, 0.5000) x4
Zn (0.2500, 0.2500, 0.7500) x4
Cd (0.2500, 0.2500, 0.2500) x4

V   363.3 Å³/cell
Energy relative to the elements   17 meV per atom
Crystal system   cubic
Electronic total energy   -4.502 eV/atom


Material: MgBRh2
Method: DFT, PBE
State: optimized geometry

Lattice parameters (Å, degrees): 3.0607 3.0607 20.0467 90.00 90.00 120.00
Space group R3m (No. 160, hexagonal axes)
Unique sites:
Mg (0.0000, 0.0000, 0.0000) x3
B (0.0000, 0.0000, 0.8343) x3
Rh (0.0000, 0.0000, 0.2259) x3
Rh (0.0000, 0.0000, 0.4415) x3

V   162.6 Å³/cell
Energy relative to the elements   -422 meV per atom
Crystal system   trigonal
Electronic total energy   -6.165 eV/atom


Material: LaAg2S3
Method: DFT, PBE
State: optimized geometry

Lattice parameters (Å, degrees): 8.3137 12.3407 5.3272 90.00 90.00 90.00
Space group Cmcm (No. 63)
Unique sites:
La (0.0000, 0.2353, 0.2500) x4
Ag (0.2064, 0.5000, 0.0000) x8
S (0.0000, 0.3701, 0.7500) x4
S (0.1937, 0.1590, 0.7500) x8

V   546.5 Å³/cell
Energy relative to the elements, uncorrected   -696 meV per atom
Crystal system   orthorhombic
Electronic total energy   -4.531 eV/atom


Material: ZrMo2W
Method: DFT, PBE
State: optimized geometry

Lattice parameters (Å, degrees): 6.4858 6.4858 6.4858 90.00 90.00 90.00
Space group Fm-3m (No. 225)
Unique sites:
Zr (0.0000, 0.0000, 0.0000) x4
Mo (0.2500, 0.2500, 0.2500) x8
W (0.0000, 0.0000, 0.5000) x4

Excess energy over the best structure of this formula in the dataset   0.0000 eV/atom
V   272.8 Å³/cell
Energy relative to the elements   -29 meV per atom
Crystal system   cubic
Electronic total energy   -10.820 eV/atom


Material: NaMgSbO2
Method: DFT, PBE
State: optimized geometry

Lattice parameters (Å, degrees): 4.0719 4.0719 5.6631 90.00 90.00 90.00
Space group P4/mmm (No. 123)
Unique sites:
Na (0.0000, 0.0000, 0.0000) x1
Mg (0.5000, 0.5000, 0.5000) x1
Sb (0.5000, 0.5000, 0.0000) x1
O (0.0000, 0.5000, 0.5000) x2

V   93.9 Å³/cell
Energy relative to the elements, uncorrected   -319 meV per atom
Crystal system   tetragonal
Electronic total energy   -3.709 eV/atom


Material: CaCr2Tc
Method: DFT, PBE
State: optimized geometry

Lattice parameters (Å, degrees): 3.1429 4.4621 8.8629 90.00 90.00 90.00
Space group Cmm2 (No. 35)
Unique sites:
Ca (0.0000, 0.0000, 0.0000) x2
Cr (0.0000, 0.0000, 0.4862) x2
Cr (0.0000, 0.5000, 0.2952) x2
Tc (0.0000, 0.5000, 0.7090) x2

Excess energy over the best structure of this formula in the dataset   0.1572 eV/atom
V   124.3 Å³/cell
Energy relative to the elements   615 meV per atom
Crystal system   orthorhombic
Electronic total energy   -7.288 eV/atom


Material: Li3Pu3GaS8
Method: DFT, PBE
State: optimized geometry

Lattice parameters (Å, degrees): 7.8003 7.8003 18.1743 90.00 90.00 120.00
Space group R-3m (No. 166, hexagonal axes)
Unique sites:
Li (0.0000, 0.5000, 0.0000) x9
Pu (0.0000, 0.5000, 0.5000) x9
Ga (0.0000, 0.0000, 0.5000) x3
S (0.0000, 0.0000, 0.2499) x6
S (0.0229, 0.5114, 0.2453) x18

V   957.7 Å³/cell
Energy relative to the elements, uncorrected   -1314 meV per atom
Crystal system   trigonal
Electronic total energy   -6.966 eV/atom